1.
The following is a GGA-PBE calculation of crystalline Dy3Y2Er6Th at its relaxed geometry, from Alexandria via LeMat-Bulk.

For the formation energy, the calculation gives 0.03 eV per atom. The crystal system is monoclinic. Its magnetic moment is 0.0 μB/f.u. For the density of states at the Fermi level, the calculation gives 15.92 states/eV/f.u.

The space group is C2/m (No. 12) and the conventional cell measures 6.127, 10.606 and 11.704 Å, with angles of 90.00, 100.06 and 90.00 degrees. The asymmetric unit holds Dy at (0.000, 0.000, 0.000), Dy at (0.000, 0.333, 0.000), Y at (0.000, 0.167, 0.500), Er at (0.245, 0.500, 0.250), Er at (0.249, 0.335, 0.750) and Th at (0.000, 0.500, 0.500).

=====

2.
The following is a GGA-PBE calculation of crystalline DyY3ErTh at its relaxed geometry, from Alexandria via LeMat-Bulk.

For the formation energy, the calculation gives 0.04 eV per atom. The crystal system is monoclinic. Its magnetic moment is 0.0 μB/f.u. For the density of states at the Fermi level, the calculation gives 8.51 states/eV/f.u.

The space group is P2_1/m (No. 11) and the conventional cell measures 9.561, 3.585 and 11.705 Å, with angles of 90.00, 105.15 and 90.00 degrees. The asymmetric unit holds Dy at (0.079, 0.250, 0.352), Y at (0.141, 0.750, 0.100), Y at (0.202, 0.250, 0.848), Y at (0.270, 0.750, 0.607), Er at (0.467, 0.250, 0.121) and Th at (0.414, 0.750, 0.368).